No. 1
Cs2CuSnI6 (PBE, optimized geometry); V = 414 Å³ per cell; energy = -2.677 eV per atom
1.0
1.482 -4.641 6.799
-6.385 -2.865 4.581
-1.834 -8.161 -0.025
I Sn Cu Cs
6 1 1 2
Direct
0.241 0.241 0.759
0.241 0.759 0.759
0.759 0.759 0.241
0.759 0.241 0.759
0.241 0.759 0.241
0.759 0.241 0.241
0.500 0.500 0.500
0.000 0.000 0.000
0.750 0.750 0.750
0.250 0.250 0.250

No. 2
Mg19Al4Zn15 (PBE, optimized geometry); V = 1375 Å³ per cell; energy = -1.762 eV per atom
1.0
7.049 -5.121 0.000
7.049 5.121 0.000
0.000 0.000 19.042
Zn Mg Al
30 38 8
Direct
0.677 0.515 0.386
0.989 0.325 0.389
0.485 0.323 0.114
0.675 0.011 0.111
0.235 0.765 0.682
0.325 0.989 0.889
0.677 0.515 0.114
0.485 0.323 0.386
0.325 0.989 0.611
0.515 0.677 0.614
0.323 0.485 0.614
0.500 0.500 0.500
0.011 0.675 0.889
0.675 0.011 0.389
0.011 0.675 0.611
0.882 0.303 0.750
0.989 0.325 0.111
0.515 0.677 0.886
0.235 0.765 0.818
0.765 0.235 0.318
0.697 0.118 0.750
0.500 0.500 0.000
0.130 0.130 0.000
0.870 0.870 0.000
0.323 0.485 0.886
0.870 0.870 0.500
0.765 0.235 0.182
0.118 0.697 0.250
0.303 0.882 0.250
0.130 0.130 0.500
0.457 0.181 0.523
0.679 0.321 0.624
0.216 0.784 0.523
0.819 0.543 0.523
0.321 0.079 0.119
0.518 0.853 0.750
0.079 0.321 0.619
0.500 0.500 0.750
0.181 0.457 0.023
0.216 0.784 0.977
0.147 0.482 0.750
0.543 0.819 0.477
0.853 0.518 0.250
0.679 0.321 0.876
0.457 0.181 0.977
0.181 0.457 0.477
0.079 0.321 0.881
0.921 0.679 0.381
0.321 0.679 0.124
0.978 0.022 0.619
0.077 0.175 0.250
0.825 0.923 0.250
0.978 0.022 0.881
0.500 0.500 0.250
0.679 0.921 0.881
0.022 0.978 0.119
0.482 0.147 0.250
0.921 0.679 0.119
0.784 0.216 0.477
0.784 0.216 0.023
0.679 0.921 0.619
0.543 0.819 0.023
0.175 0.077 0.750
0.819 0.543 0.977
0.321 0.679 0.376
0.923 0.825 0.750
0.321 0.079 0.381
0.022 0.978 0.381
0.416 0.206 0.821
0.206 0.416 0.321
0.206 0.416 0.179
0.584 0.794 0.321
0.794 0.584 0.679
0.794 0.584 0.821
0.584 0.794 0.179
0.416 0.206 0.679

No. 3
TlInW4C2 (PBE, optimized geometry); V = 121 Å³ per cell; energy = -9.082 eV per atom; total magnetization = 0.0003 μB per atom
1.0
3.153 0.000 0.000
-1.577 2.731 0.000
0.000 0.000 14.051
Tl W C In
1 4 2 1
Direct
0.667 0.333 0.500
0.667 0.333 0.831
0.000 0.000 0.672
0.000 0.000 0.328
0.667 0.333 0.169
0.333 0.667 0.249
0.333 0.667 0.751
0.000 0.000 0.000

No. 4
Er4BiS3 (PBE, optimized geometry); V = 186 Å³ per cell; energy = -5.869 eV per atom; total magnetization = 0.0001 μB per atom
1.0
2.200 6.503 1.175
-5.537 4.130 0.893
1.753 -6.064 2.945
Bi Er S
1 4 3
Direct
0.500 0.500 0.000
0.000 0.500 0.500
0.766 0.766 0.000
0.234 0.234 0.000
0.500 0.000 0.500
0.750 0.250 0.500
0.000 0.000 0.000
0.250 0.750 0.500

No. 5
Ag2Sn9 (PBE, optimized geometry); V = 595 Å³ per cell; energy = -3.637 eV per atom
1.0
2.093 0.428 8.927
-0.760 8.502 -3.376
-7.964 -4.438 -1.066
Sn Ag
18 4
Direct
0.698 0.360 0.360
0.360 0.698 0.360
0.218 0.218 0.000
0.000 0.338 0.640
0.360 0.360 0.698
0.218 0.000 0.218
0.000 0.218 0.218
0.662 0.662 0.302
0.338 0.640 0.000
0.338 0.000 0.640
0.782 0.782 0.000
0.662 0.302 0.662
0.782 0.000 0.782
0.000 0.640 0.338
0.000 0.782 0.782
0.302 0.662 0.662
0.640 0.338 0.000
0.640 0.000 0.338
0.000 0.427 0.000
0.573 0.573 0.573
0.000 0.000 0.427
0.427 0.000 0.000

No. 6
ErTmMg2 (PBE, optimized geometry); V = 106 Å³ per cell; energy = -3.092 eV per atom; total magnetization = 0.0368 μB per atom
1.0
3.783 0.000 0.000
0.000 5.289 0.000
0.000 0.000 5.289
Er Mg Tm
1 2 1
Direct
0.000 0.000 0.748
0.500 0.500 0.752
0.500 0.000 0.248
0.000 0.500 0.252

No. 7
LaAlZn2Au (PBE, optimized geometry); V = 102 Å³ per cell; energy = -3.373 eV per atom; total magnetization = 0.0056 μB per atom
1.0
5.689 2.278 -1.694
1.181 6.193 -0.822
-2.665 -3.996 4.165
La Al Zn Au
1 1 2 1
Direct
0.000 0.000 0.000
0.750 0.250 0.500
0.612 0.612 0.000
0.388 0.388 0.000
0.250 0.750 0.500

No. 8
Hf3Al3C5 (PBE, optimized geometry); V = 263 Å³ per cell; energy = -8.513 eV per atom; total magnetization = 0.0002 μB per atom
1.0
3.325 0.000 0.000
-1.663 2.880 0.000
0.000 0.000 27.451
C Al Hf
10 6 6
Direct
0.000 0.000 0.151
0.333 0.667 0.450
0.000 0.000 0.651
0.000 0.000 0.349
0.333 0.667 0.050
0.667 0.333 0.750
0.667 0.333 0.950
0.000 0.000 0.849
0.333 0.667 0.250
0.667 0.333 0.550
0.000 0.000 0.750
0.333 0.667 0.324
0.667 0.333 0.676
0.667 0.333 0.824
0.333 0.667 0.176
0.000 0.000 0.250
0.333 0.667 0.906
0.667 0.333 0.406
0.667 0.333 0.094
0.000 0.000 0.000
0.000 0.000 0.500
0.333 0.667 0.594

Q: Which value of energy does entry 2 give?
A: -1.762 eV per atom